DFT (PBE-GGA) results for a relaxed Mn3Ge12Ir5 crystal.

abc: 12.5399 12.5399 12.5399
angles: 109.47 109.47 109.47
With the nearest neighbours (Å) after each atom.
Element x y z (fractional)
Mn 0.1250 0.2500 0.3750  4 Ge 2.49
Mn 0.1250 0.3750 0.7500  4 Ge 2.49
Mn 0.2500 0.3750 0.1250  4 Ge 2.49
Mn 0.2500 0.8750 0.6250  4 Ge 2.49
Mn 0.3750 0.1250 0.2500  4 Ge 2.49
Mn 0.3750 0.7500 0.1250  4 Ge 2.49
Mn 0.6250 0.2500 0.8750  4 Ge 2.49
Mn 0.6250 0.8750 0.7500  4 Ge 2.49
Mn 0.7500 0.1250 0.3750  4 Ge 2.49
Mn 0.7500 0.6250 0.8750  4 Ge 2.49
Mn 0.8750 0.6250 0.2500  4 Ge 2.49
Mn 0.8750 0.7500 0.6250  4 Ge 2.49
Ge 0.0613 0.2325 0.1307  2 Ir 2.40-2.50, 1 Mn 2.49
Ge 0.0613 0.3288 0.9306  2 Ir 2.40-2.50, 1 Mn 2.49
Ge 0.0694 0.6307 0.3982  2 Ir 2.40-2.50, 1 Mn 2.49
Ge 0.0694 0.9387 0.6712  2 Ir 2.40-2.50, 1 Mn 2.49
Ge 0.1018 0.7325 0.6712  2 Ir 2.40-2.50, 1 Mn 2.49
Ge 0.1018 0.8693 0.4306  2 Ir 2.40-2.50, 1 Mn 2.49
Ge 0.1307 0.0613 0.2325  2 Ir 2.40-2.50, 1 Mn 2.49
Ge 0.1307 0.5694 0.8982  2 Ir 2.40-2.50, 1 Mn 2.49
Ge 0.1712 0.2325 0.6018  2 Ir 2.40-2.50, 1 Mn 2.49
Ge 0.1712 0.4387 0.5694  2 Ir 2.40-2.50, 1 Mn 2.49
Ge 0.2325 0.1307 0.0613  2 Ir 2.40-2.50, 1 Mn 2.49
Ge 0.2325 0.6018 0.1712  2 Ir 2.40-2.50, 1 Mn 2.49
Ge 0.2675 0.3288 0.8982  2 Ir 2.40-2.50, 1 Mn 2.49
Ge 0.2675 0.4387 0.3693  2 Ir 2.40-2.50, 1 Mn 2.49
Ge 0.3288 0.8982 0.2675  2 Ir 2.40-2.50, 1 Mn 2.49
Ge 0.3288 0.9306 0.0613  2 Ir 2.40-2.50, 1 Mn 2.49
Ge 0.3693 0.2675 0.4387  2 Ir 2.40-2.50, 1 Mn 2.49
Ge 0.3693 0.6018 0.9306  2 Ir 2.40-2.50, 1 Mn 2.49
Ge 0.3982 0.0694 0.6307  2 Ir 2.40-2.50, 1 Mn 2.49
Ge 0.3982 0.8288 0.7675  2 Ir 2.40-2.50, 1 Mn 2.49
Ge 0.4306 0.1018 0.8693  2 Ir 2.40-2.50, 1 Mn 2.49
Ge 0.4306 0.8288 0.5613  2 Ir 2.40-2.50, 1 Mn 2.49
Ge 0.4387 0.3693 0.2675  2 Ir 2.40-2.50, 1 Mn 2.49
Ge 0.4387 0.5694 0.1712  2 Ir 2.40-2.50, 1 Mn 2.49
Ge 0.5613 0.4306 0.8288  2 Ir 2.40-2.50, 1 Mn 2.49
Ge 0.5613 0.6307 0.7325  2 Ir 2.40-2.50, 1 Mn 2.49
Ge 0.5694 0.1712 0.4387  2 Ir 2.40-2.50, 1 Mn 2.49
Ge 0.5694 0.8982 0.1307  2 Ir 2.40-2.50, 1 Mn 2.49
Ge 0.6018 0.1712 0.2325  2 Ir 2.40-2.50, 1 Mn 2.49
Ge 0.6018 0.9306 0.3693  2 Ir 2.40-2.50, 1 Mn 2.49
Ge 0.6307 0.3982 0.0694  2 Ir 2.40-2.50, 1 Mn 2.49
Ge 0.6307 0.7325 0.5613  2 Ir 2.40-2.50, 1 Mn 2.49
Ge 0.6712 0.0694 0.9387  2 Ir 2.40-2.50, 1 Mn 2.49
Ge 0.6712 0.1018 0.7325  2 Ir 2.40-2.50, 1 Mn 2.49
Ge 0.7325 0.5613 0.6307  2 Ir 2.40-2.50, 1 Mn 2.49
Ge 0.7325 0.6712 0.1018  2 Ir 2.40-2.50, 1 Mn 2.49
Ge 0.7675 0.3982 0.8288  2 Ir 2.40-2.50, 1 Mn 2.49
Ge 0.7675 0.8693 0.9387  2 Ir 2.40-2.50, 1 Mn 2.49
Ge 0.8288 0.5613 0.4306  2 Ir 2.40-2.50, 1 Mn 2.49
Ge 0.8288 0.7675 0.3982  2 Ir 2.40-2.50, 1 Mn 2.49
Ge 0.8693 0.4306 0.1018  2 Ir 2.40-2.50, 1 Mn 2.49
Ge 0.8693 0.9387 0.7675  2 Ir 2.40-2.50, 1 Mn 2.49
Ge 0.8982 0.1307 0.5694  2 Ir 2.40-2.50, 1 Mn 2.49
Ge 0.8982 0.2675 0.3288  2 Ir 2.40-2.50, 1 Mn 2.49
Ge 0.9306 0.0613 0.3288  2 Ir 2.40-2.50, 1 Mn 2.49
Ge 0.9306 0.3693 0.6018  2 Ir 2.40-2.50, 1 Mn 2.49
Ge 0.9387 0.6712 0.0694  2 Ir 2.40-2.50, 1 Mn 2.49
Ge 0.9387 0.7675 0.8693  2 Ir 2.40-2.50, 1 Mn 2.49
Ir 0.0000 0.0000 0.0000  6 Ge 2.50
Ir 0.0000 0.0000 0.5000  6 Ge 2.50
Ir 0.0000 0.5000 0.0000  6 Ge 2.50
Ir 0.0000 0.5000 0.5000  6 Ge 2.50
Ir 0.1250 0.7500 0.8750  4 Ge 2.40
Ir 0.1250 0.8750 0.2500  4 Ge 2.40
Ir 0.2500 0.1250 0.8750  4 Ge 2.40
Ir 0.2500 0.6250 0.3750  4 Ge 2.40
Ir 0.3750 0.2500 0.6250  4 Ge 2.40
Ir 0.3750 0.6250 0.7500  4 Ge 2.40
Ir 0.5000 0.0000 0.0000  6 Ge 2.50
Ir 0.5000 0.0000 0.5000  6 Ge 2.50
Ir 0.5000 0.5000 0.0000  6 Ge 2.50
Ir 0.5000 0.5000 0.5000  6 Ge 2.50
Ir 0.6250 0.3750 0.2500  4 Ge 2.40
Ir 0.6250 0.7500 0.3750  4 Ge 2.40
Ir 0.7500 0.3750 0.6250  4 Ge 2.40
Ir 0.7500 0.8750 0.1250  4 Ge 2.40
Ir 0.8750 0.1250 0.7500  4 Ge 2.40
Ir 0.8750 0.2500 0.1250  4 Ge 2.40

Total magnetic moment, μB/f.u.: 7.78
Space-group type: Ia-3d
ΔH_f (0 K), eV/atom: 0.175